P.
! HfBeReAs | OQMD | PBE | relaxed; values from VASP
&SYSTEM
  ibrav = 0, nat = 4, ntyp = 4
/
ATOMIC_SPECIES
Hf 178.49 Hf.upf
Be 9.01 Be.upf
Re 186.21 Re.upf
As 74.92 As.upf
CELL_PARAMETERS angstrom
0.0000 3.0903 3.0903
3.0903 0.0000 3.0903
3.0903 3.0903 0.0000
ATOMIC_POSITIONS angstrom
Hf 0.0000 0.0000 0.0000
Be 1.5451 1.5451 1.5451
Re 3.0903 3.0903 3.0903
As 4.6354 4.6354 4.6354
! size of the total moment = 0.0 μB/f.u.

Q.
! HfBeReAs | OQMD | PBE | relaxed; values from VASP
&SYSTEM
  ibrav = 0, nat = 4, ntyp = 4
/
ATOMIC_SPECIES
Hf 178.49 Hf.upf
Be 9.01 Be.upf
Re 186.21 Re.upf
As 74.92 As.upf
CELL_PARAMETERS angstrom
0.0000 3.1209 3.1209
3.1209 0.0000 3.1209
3.1209 3.1209 0.0000
ATOMIC_POSITIONS angstrom
Hf 0.0000 0.0000 0.0000
Be 1.5605 1.5605 1.5605
Re 4.6814 4.6814 4.6814
As 3.1209 3.1209 3.1209
! size of the total moment = 0.0 μB/f.u.

R.
! HfBeReAs | OQMD | PBE | relaxed; values from VASP
&SYSTEM
  ibrav = 0, nat = 4, ntyp = 4
/
ATOMIC_SPECIES
Hf 178.49 Hf.upf
Be 9.01 Be.upf
Re 186.21 Re.upf
As 74.92 As.upf
CELL_PARAMETERS angstrom
0.0000 3.1384 3.1384
3.1384 0.0000 3.1384
3.1384 3.1384 0.0000
ATOMIC_POSITIONS angstrom
Hf 0.0000 0.0000 0.0000
Be 3.1384 3.1384 3.1384
Re 4.7076 4.7076 4.7076
As 1.5692 1.5692 1.5692
! size of the total moment = 0.0 μB/f.u.

Which is the most stable structure? P is the most stable.

P.
! HfBeTcAs | OQMD | PBE | relaxed; values from VASP
&SYSTEM
  ibrav = 0, nat = 4, ntyp = 4
/
ATOMIC_SPECIES
Hf 178.49 Hf.upf
Be 9.01 Be.upf
Tc 98.00 Tc.upf
As 74.92 As.upf
CELL_PARAMETERS angstrom
0.0000 3.0888 3.0888
3.0888 0.0000 3.0888
3.0888 3.0888 0.0000
ATOMIC_POSITIONS angstrom
Hf 0.0000 0.0000 0.0000
Be 1.5444 1.5444 1.5444
Tc 3.0888 3.0888 3.0888
As 4.6333 4.6333 4.6333
! size of the total moment = 0.0 μB/f.u.

Q.
! HfBeTcAs | OQMD | PBE | relaxed; values from VASP
&SYSTEM
  ibrav = 0, nat = 4, ntyp = 4
/
ATOMIC_SPECIES
Hf 178.49 Hf.upf
Be 9.01 Be.upf
Tc 98.00 Tc.upf
As 74.92 As.upf
CELL_PARAMETERS angstrom
0.0000 3.1017 3.1017
3.1017 0.0000 3.1017
3.1017 3.1017 0.0000
ATOMIC_POSITIONS angstrom
Hf 0.0000 0.0000 0.0000
Be 1.5509 1.5509 1.5509
Tc 4.6526 4.6526 4.6526
As 3.1017 3.1017 3.1017
! size of the total moment = 0.0 μB/f.u.

R.
! HfBeTcAs | OQMD | PBE | relaxed; values from VASP
&SYSTEM
  ibrav = 0, nat = 4, ntyp = 4
/
ATOMIC_SPECIES
Hf 178.49 Hf.upf
Be 9.01 Be.upf
Tc 98.00 Tc.upf
As 74.92 As.upf
CELL_PARAMETERS angstrom
0.0000 3.1297 3.1297
3.1297 0.0000 3.1297
3.1297 3.1297 0.0000
ATOMIC_POSITIONS angstrom
Hf 0.0000 0.0000 0.0000
Be 3.1297 3.1297 3.1297
Tc 4.6945 4.6945 4.6945
As 1.5648 1.5648 1.5648
! size of the total moment = 0.0 μB/f.u.

Which is the most stable structure? P is the most stable.